Entry 1:
Material: FeMoSe2
Method: DFT, PBE
State: optimized geometry

a = 4.2589 Å, b = 4.2589 Å, c = 5.3169 Å
α = 98.70°, β = 98.70°, γ = 44.02°
Last column: nearest neighbours and their distance in Å.
Sites, in units of the cell vectors:
Fe (0.0000, 0.0000, 0.0000)  2 Se 2.44
Mo (0.5000, 0.5000, 0.5000)  6 Se 2.58-2.67
Se (0.2278, 0.2278, 0.7403)  1 Fe 2.44, 3 Mo 2.58-2.67
Se (0.7722, 0.7722, 0.2596)  1 Fe 2.44, 3 Mo 2.58-2.67

Results
For the total DFT energy (no corrections), the calculation gives -25.57 eV/cell. The calculation puts the total moment at 0.67 μB/atom. The volume comes out at 66.1 Å³ per cell. The calculation puts the theoretical density at 7.779 g cm⁻³. As for the energy relative to the elements, uncorrected: 0.172 eV per atom. As for the space group: C2/m.

Entry 2:
Material: Fe2MoSe
Method: DFT, PBE
State: optimized geometry

a = 3.0269 Å, b = 3.0269 Å, c = 5.9318 Å
α = 90.00°, β = 90.00°, γ = 90.00°
Last column: nearest neighbours and their distance in Å.
Sites, in units of the cell vectors:
Fe (0.0000, 0.0000, 0.2484)  4 Se 2.60, 4 Mo 2.61
Fe (0.0000, 0.0000, 0.7516)  4 Se 2.60, 4 Mo 2.61
Mo (0.5000, 0.5000, 0.5000)  8 Fe 2.61
Se (0.5000, 0.5000, 0.0000)  8 Fe 2.60

Results
For the total DFT energy (no corrections), the calculation gives -30.24 eV/cell. The calculation puts the total moment at 0.77 μB/atom. The volume comes out at 54.3 Å³ per cell. The calculation puts the theoretical density at 8.757 g cm⁻³. As for the energy relative to the elements, uncorrected: 0.250 eV per atom. As for the space group: P4/mmm.

Entry 3:
Material: FeMoSe2
Method: DFT, PBE
State: optimized geometry

a = 4.6156 Å, b = 4.6156 Å, c = 6.3857 Å
α = 96.60°, β = 96.60°, γ = 42.61°
Last column: nearest neighbours and their distance in Å.
Sites, in units of the cell vectors:
Fe (0.0000, 0.0000, 0.0000)  3 Se 2.36-2.45, 3 Mo 2.53-2.55
Mo (0.2781, 0.2781, 0.9109)  5 Se 2.52-2.72, 3 Fe 2.53-2.55
Se (0.5482, 0.5482, 0.7360)  2 Fe 2.45, 3 Mo 2.70-2.72
Se (0.7905, 0.7905, 0.2065)  1 Fe 2.36, 2 Mo 2.52

Results
For the total DFT energy (no corrections), the calculation gives -26.37 eV/cell. The calculation puts the total moment at 0.51 μB/atom. The volume comes out at 91.4 Å³ per cell. The calculation puts the theoretical density at 5.627 g cm⁻³. As for the energy relative to the elements, uncorrected: -0.026 eV per atom. As for the space group: Cm.

Entry 4:
Material: Fe2MoSe
Method: DFT, PBE
State: optimized geometry

a = 7.9018 Å, b = 7.9018 Å, c = 7.9018 Å
α = 21.72°, β = 21.72°, γ = 21.72°
Last column: nearest neighbours and their distance in Å.
Sites, in units of the cell vectors:
Fe (0.0000, 0.0000, 0.0000)  3 Fe 2.45, 3 Mo 2.67
Fe (0.2576, 0.2576, 0.2576)  3 Fe 2.45, 3 Se 2.64
Mo (0.7549, 0.7549, 0.7549)  3 Se 2.57, 3 Fe 2.67
Se (0.5040, 0.5040, 0.5040)  3 Mo 2.57, 3 Fe 2.64

Results
For the total DFT energy (no corrections), the calculation gives -30.05 eV/cell. The calculation puts the total moment at 1.26 μB/atom. The volume comes out at 59.2 Å³ per cell. The calculation puts the theoretical density at 8.036 g cm⁻³. As for the energy relative to the elements, uncorrected: 0.298 eV per atom. As for the space group: R3m.

Entry 5:
Material: FeMoSe2
Method: DFT, PBE
State: optimized geometry

a = 3.1993 Å, b = 3.1993 Å, c = 7.2742 Å
α = 90.00°, β = 90.00°, γ = 90.00°
Last column: nearest neighbours and their distance in Å.
Sites, in units of the cell vectors:
Fe (0.0000, 0.0000, 0.0000)  4 Se 2.48, 4 Mo 2.78
Mo (0.5000, 0.5000, 0.2215)  5 Se 2.61-2.63, 4 Fe 2.78
Se (0.0000, 0.0000, 0.4005)  4 Mo 2.61, 1 Fe 2.91
Se (0.5000, 0.5000, 0.8596)  4 Fe 2.48, 1 Mo 2.63

Results
For the total DFT energy (no corrections), the calculation gives -26.68 eV/cell. The calculation puts the total moment at 0.52 μB/atom. The volume comes out at 74.5 Å³ per cell. The calculation puts the theoretical density at 6.907 g cm⁻³. As for the energy relative to the elements, uncorrected: -0.104 eV per atom. As for the space group: P4mm.

Entry 6:
Material: FeMoSe2
Method: DFT, PBE
State: optimized geometry

a = 3.7054 Å, b = 3.7453 Å, c = 6.5494 Å
α = 90.00°, β = 90.49°, γ = 90.00°
Last column: nearest neighbours and their distance in Å.
Sites, in units of the cell vectors:
Fe (0.0000, 0.0000, 0.0000)  4 Se 2.49-2.50, 4 Mo 2.63
Mo (0.5000, 0.5000, 0.9976)  4 Se 2.50, 4 Fe 2.63
Se (0.0039, 0.5000, 0.2530)  2 Mo 2.50, 2 Fe 2.50
Se (0.4960, 0.0000, 0.7449)  2 Fe 2.49, 2 Mo 2.50

Results
For the total DFT energy (no corrections), the calculation gives -27.32 eV/cell. The calculation puts the total moment at 0.57 μB/atom. The volume comes out at 90.9 Å³ per cell. The calculation puts the theoretical density at 5.658 g cm⁻³. As for the energy relative to the elements, uncorrected: -0.263 eV per atom. As for the space group: Pm.

Entry 7:
Material: FeMoSe
Method: DFT, PBE
State: optimized geometry

a = 4.0129 Å, b = 4.0129 Å, c = 3.0237 Å
α = 90.00°, β = 90.00°, γ = 120.00°
Last column: nearest neighbours and their distance in Å.
Sites, in units of the cell vectors:
Fe (0.0000, 0.0000, 0.0000)  3 Se 2.32
Mo (0.3333, 0.6667, 0.4989)  6 Fe 2.76-2.77, 6 Se 2.77, 2 Mo 3.02
Se (0.6667, 0.3333, 0.9982)  3 Fe 2.32

Results
For the total DFT energy (no corrections), the calculation gives -22.06 eV/cell. The calculation puts the total moment at 0.26 μB/atom. The volume comes out at 42.2 Å³ per cell. The calculation puts the theoretical density at 9.086 g cm⁻³. As for the energy relative to the elements, uncorrected: 0.240 eV per atom. As for the space group: P3m1.

Entry 8:
Material: Fe2MoSe
Method: DFT, PBE
State: optimized geometry

a = 4.8828 Å, b = 4.8828 Å, c = 4.8828 Å
α = 143.34°, β = 129.15°, γ = 64.31°
Last column: nearest neighbours and their distance in Å.
Sites, in units of the cell vectors:
Fe (0.0000, 0.0000, 0.0000)  2 Fe 2.58, 4 Se 2.61, 4 Mo 2.76-2.79
Fe (0.7493, 0.2493, 0.5000)  2 Se 2.39, 2 Fe 2.58, 4 Mo 2.61
Mo (0.2820, 0.7820, 0.5000)  2 Se 2.55, 8 Fe 2.61-2.79
Se (0.5275, 0.5275, 0.0000)  6 Fe 2.39-2.61, 2 Mo 2.55

Results
For the total DFT energy (no corrections), the calculation gives -30.07 eV/cell. The calculation puts the total moment at 0.66 μB/atom. The volume comes out at 53.2 Å³ per cell. The calculation puts the theoretical density at 8.939 g cm⁻³. As for the energy relative to the elements, uncorrected: 0.293 eV per atom. As for the space group: Imm2.

Entry 9:
Material: FeMo6Se8
Method: DFT, PBE
State: optimized geometry

a = 6.7228 Å, b = 6.7228 Å, c = 6.7228 Å
α = 92.45°, β = 92.45°, γ = 92.45°
Last column: nearest neighbours and their distance in Å.
Sites, in units of the cell vectors:
Fe (0.0000, 0.0000, 0.0000)  2 Se 2.40
Mo (0.2268, 0.4186, 0.5474)  5 Se 2.56-2.68, 4 Mo 2.71-2.77
Mo (0.4186, 0.5474, 0.2268)  5 Se 2.56-2.68, 4 Mo 2.71-2.77
Mo (0.4526, 0.7732, 0.5814)  5 Se 2.56-2.68, 4 Mo 2.71-2.77
Mo (0.5474, 0.2268, 0.4186)  5 Se 2.56-2.68, 4 Mo 2.71-2.77
Mo (0.5814, 0.4526, 0.7732)  5 Se 2.56-2.68, 4 Mo 2.71-2.77
Mo (0.7732, 0.5815, 0.4526)  5 Se 2.56-2.68, 4 Mo 2.71-2.77
Se (0.1287, 0.7448, 0.3661)  4 Mo 2.56-2.68
Se (0.2157, 0.2157, 0.2157)  1 Fe 2.40, 3 Mo 2.56
Se (0.2552, 0.6339, 0.8713)  4 Mo 2.56-2.68
Se (0.3661, 0.1287, 0.7448)  4 Mo 2.56-2.68
Se (0.6339, 0.8713, 0.2552)  4 Mo 2.56-2.68
Se (0.7448, 0.3661, 0.1287)  4 Mo 2.56-2.68
Se (0.7843, 0.7843, 0.7843)  1 Fe 2.40, 3 Mo 2.56
Se (0.8713, 0.2552, 0.6339)  4 Mo 2.56-2.68

Results
For the total DFT energy (no corrections), the calculation gives -107.38 eV/cell. The calculation puts the total moment at 0.25 μB/atom. The volume comes out at 303.0 Å³ per cell. The calculation puts the theoretical density at 6.923 g cm⁻³. As for the energy relative to the elements, uncorrected: -0.404 eV per atom. As for the space group: R-3.

Entry 10:
Material: Fe2MoSe
Method: DFT, PBE
State: optimized geometry

a = 6.3502 Å, b = 6.3502 Å, c = 6.3502 Å
α = 130.34°, β = 130.34°, γ = 72.87°
Last column: nearest neighbours and their distance in Å.
Sites, in units of the cell vectors:
Fe (0.1172, 0.6250, 0.9922)  2 Se 2.25, 2 Mo 2.30
Fe (0.3750, 0.3672, 0.4922)  2 Se 2.25, 2 Mo 2.30
Fe (0.6328, 0.1250, 0.0078)  2 Se 2.25, 2 Mo 2.30
Fe (0.8750, 0.8828, 0.5078)  2 Se 2.25, 2 Mo 2.30
Mo (0.2500, 0.7500, 0.5000)  4 Fe 2.30
Mo (0.5000, 0.5000, 0.0000)  4 Fe 2.30
Se (0.0000, 0.0000, 0.0000)  4 Fe 2.25
Se (0.7500, 0.2500, 0.5000)  4 Fe 2.25

Results
For the total DFT energy (no corrections), the calculation gives -56.61 eV/cell. The calculation puts the total moment at 0.00 μB/atom. The volume comes out at 145.3 Å³ per cell. The calculation puts the theoretical density at 6.549 g cm⁻³. As for the energy relative to the elements, uncorrected: 0.734 eV per atom. As for the space group: I-42d.